DFT (PBE) results for an optimized crystal structure of Sr2Al3Pd2.

Geometry as POSCAR:
```
Sr2Al3Pd2
1.0
11.439 0.000 0.000
0.000 4.204 0.000
-3.887 0.000 6.607
Sr Al Pd
4 6 4
Cartesian
0.521 0.000 1.740
1.311 2.102 4.867
6.240 2.102 1.740
7.031 0.000 4.867
-1.944 2.102 3.304
-1.823 2.102 6.159
3.655 0.000 0.449
3.776 0.000 3.304
3.896 0.000 6.159
9.374 2.102 0.449
-1.294 0.000 4.671
3.126 2.102 1.937
4.425 2.102 4.671
8.845 0.000 1.937
```

Computed properties:
- DFT total energy (eV/atom) = -4.20


DFT (PBE) results for an optimized crystal structure of HoErSn.

Geometry as POSCAR:
```
HoErSn
1.0
7.200 0.000 0.000
0.000 7.200 0.000
0.000 0.000 7.200
Ho Er Sn
4 4 4
Cartesian
0.000 0.000 0.000
0.000 3.600 3.600
3.600 0.000 3.600
3.600 3.600 0.000
0.000 0.000 3.600
0.000 3.600 0.000
3.600 0.000 0.000
3.600 3.600 3.600
1.800 1.800 5.400
1.800 5.400 1.800
5.400 1.800 1.800
5.400 5.400 5.400
```

Computed properties:
- magnetization (μB per cell) = 0.04
- DFT total energy (eV/atom) = -4.75


DFT (PBE) results for an optimized crystal structure of SrTmTe.

Geometry as POSCAR:
```
SrTmTe
1.0
7.440 0.000 0.000
0.000 7.440 0.000
0.000 0.000 7.440
Sr Tm Te
4 4 4
Cartesian
0.000 0.000 0.000
0.000 3.720 3.720
3.720 0.000 3.720
3.720 3.720 0.000
0.000 0.000 3.720
0.000 3.720 0.000
3.720 0.000 0.000
3.720 3.720 3.720
1.860 1.860 1.860
1.860 5.580 5.580
5.580 1.860 5.580
5.580 5.580 1.860
```

Computed properties:
- magnetization (μB per cell) = 0.28
- DFT total energy (eV/atom) = -3.49
- excess energy over the best structure of this formula in the dataset (meV/atom) = 0


DFT (PBE) results for an optimized crystal structure of Cs4Nd3P12O36.

Geometry as POSCAR:
```
Cs4Nd3P12O36
1.0
-7.572 7.572 7.572
7.572 -7.572 7.572
7.572 7.572 -7.572
Cs Nd P O
8 6 24 72
Cartesian
5.629 1.943 -1.943
9.414 -1.843 1.843
1.943 -1.943 5.629
1.943 1.943 1.943
-1.943 5.629 1.943
1.843 9.414 -1.843
-1.843 1.843 9.414
5.729 5.729 5.729
11.358 1.893 0.000
5.679 0.000 3.786
3.786 5.679 0.000
0.000 3.786 5.679
1.893 0.000 11.358
0.000 11.358 1.893
3.065 -1.776 1.893
13.134 -0.721 1.893
1.893 3.065 -1.776
5.795 5.679 -3.065
5.679 -3.065 5.795
8.293 -1.893 5.562
8.293 1.893 2.010
5.679 3.065 1.776
-1.776 1.893 3.065
9.464 4.507 1.776
5.562 8.293 -1.893
3.065 1.776 5.679
6.851 5.679 2.010
1.776 5.679 3.065
5.679 2.010 6.851
2.010 8.293 1.893
1.893 2.010 8.293
4.507 1.776 9.464
-3.065 5.795 5.679
1.893 13.134 -0.721
2.010 6.851 5.679
-1.893 5.562 8.293
1.776 9.464 4.507
-0.721 1.893 13.134
13.445 1.255 -1.065
10.292 2.531 -2.087
6.220 -4.313 4.908
6.317 -1.065 1.698
11.958 -0.197 1.138
8.099 -5.137 6.450
6.971 4.924 -3.589
8.923 -3.259 4.908
4.908 6.220 -4.313
3.589 -0.600 2.648
9.270 1.255 1.065
5.040 -2.087 4.851
4.851 5.040 -2.087
6.450 8.099 -5.137
2.648 3.589 -0.600
7.769 -1.138 4.386
4.924 -3.589 6.971
7.045 2.434 1.122
7.045 -2.434 6.450
4.924 3.589 0.600
7.769 1.138 3.185
10.220 3.983 0.600
6.450 7.045 -2.434
12.423 2.531 2.087
5.040 2.087 2.721
1.698 6.317 -1.065
3.589 0.600 4.924
4.908 8.923 -3.259
8.923 3.259 2.664
-0.600 2.648 3.589
8.099 5.137 1.122
4.386 7.769 -1.138
6.317 1.065 5.873
6.220 4.313 2.664
2.721 5.040 2.087
5.873 6.317 1.065
2.087 2.721 5.040
-1.065 1.698 6.317
2.434 1.122 7.045
2.531 -2.087 10.292
0.600 4.924 3.589
4.313 2.664 6.220
3.185 7.769 1.138
5.137 1.122 8.099
1.122 7.045 2.434
7.375 6.434 3.185
-2.087 4.851 5.040
1.255 1.065 9.270
1.065 9.270 1.255
2.664 6.220 4.313
6.434 3.185 7.375
3.983 0.600 10.220
1.138 3.185 7.769
-4.313 4.908 6.220
3.259 2.664 8.923
1.138 11.958 -0.197
-3.589 6.971 4.924
-1.138 4.386 7.769
2.664 8.923 3.259
1.065 5.873 6.317
1.255 -1.065 13.445
-2.087 10.292 2.531
-0.197 1.138 11.958
1.122 8.099 5.137
-2.434 6.450 7.045
3.185 7.375 6.434
-3.259 4.908 8.923
0.600 10.220 3.983
2.531 2.087 12.423
-5.137 6.450 8.099
-1.065 13.445 1.255
2.087 12.423 2.531
```

Computed properties:
- magnetization (μB per cell) = 0.00
- DFT total energy (eV/atom) = -7.16